(1)
An optimized crystal structure of La2Er2Mg15. Source: the Alexandria database, functional PBE.

Lattice parameters (Å, degrees): 10.5719 10.5719 15.3344 90.00 90.00 120.00
Closest atoms and distances in Å follow each position.
Space group R-3m (No. 166, hexagonal axes)
One atom of each set of equivalent atoms:
La: 0.0000 0.0000 0.1678 (multiplicity 6)  1 Er 3.55, 15 Mg 3.75-3.97
Er: 0.0000 0.0000 0.3992 (multiplicity 6)  1 Er 3.09, 6 Mg 3.21-3.38
Mg: 0.0000 0.2937 0.5000 (multiplicity 18)  8 Mg 3.01-3.28
Mg: 0.0000 0.5000 0.0000 (multiplicity 9)  8 Mg 3.01-3.10, 2 Er 3.21
Mg: 0.0073 0.5037 0.6474 (multiplicity 18)  8 Mg 3.04-3.28, 1 Er 3.38

## Properties
The calculation puts the volume at 1484 Å³ per cell. The value obtained for the formation energy is -0.03 eV/atom. As for the magnetic moment: 0.00 μB per formula unit. The density of states at the Fermi level comes out at 0.786 states/eV/atom. Its theoretical density is 3.3 g/cm3.

(2)
An optimized crystal structure of Ba4Pu3PaO12. Source: the Alexandria database, functional PBE.

Lattice parameters (Å, degrees): 8.8928 8.8928 8.8928 90.00 90.00 90.00
Closest atoms and distances in Å follow each position.
Space group Im-3m (No. 229)
One atom of each set of equivalent atoms:
Ba: 0.2500 0.2500 0.2500 (multiplicity 8)  12 O 3.14
Pu: 0.0000 0.0000 0.5000 (multiplicity 6)  6 O 2.22-2.27
Pa: 0.0000 0.0000 0.0000 (multiplicity 2)  6 O 2.17
O: 0.0000 0.0000 0.2446 (multiplicity 12)  1 Pa 2.17, 1 Pu 2.27
O: 0.0000 0.2500 0.5000 (multiplicity 12)  2 Pu 2.22

## Properties
The calculation puts the volume at 703 Å³ per cell. The formation energy from raw total energies comes out at -3.06 eV per atom. As for the magnetic moment: 13.00 μB per formula unit. The density of states at the Fermi level comes out at 0.590 states/eV/atom. Its theoretical density is 8.0 g/cm3.

(3)
An optimized crystal structure of Li2SmPt9. Source: the Alexandria database, functional PBE.

Lattice parameters (Å, degrees): 5.3282 5.3282 26.2786 90.00 90.00 120.00
Closest atoms and distances in Å follow each position.
Space group R-3m (No. 166, hexagonal axes)
One atom of each set of equivalent atoms:
Li: 0.0000 0.0000 0.1465 (multiplicity 6)  12 Pt 3.06-3.12, 3 Li 3.25
Sm: 0.0000 0.0000 0.0000 (multiplicity 3)  6 Pt 3.08
Pt: 0.0000 0.0000 0.3330 (multiplicity 6)  6 Pt 2.72-2.75
Pt: 0.0000 0.0000 0.5000 (multiplicity 3)  6 Pt 2.63
Pt: 0.0038 0.5019 0.9140 (multiplicity 18)  7 Pt 2.63-2.75

## Properties
The calculation puts the volume at 646 Å³ per cell. The value obtained for the formation energy is -0.54 eV/atom. As for the magnetic moment: 0.00 μB per formula unit. The density of states at the Fermi level comes out at 0.556 states/eV/atom. Its theoretical density is 14.8 g/cm3.

(4)
An optimized crystal structure of MgCr2Cu. Source: the Alexandria database, functional PBE.

Lattice parameters (Å, degrees): 3.4752 3.4752 8.6359 90.00 90.00 90.00
Closest atoms and distances in Å follow each position.
Space group I4/mmm (No. 139)
One atom of each set of equivalent atoms:
Mg: 0.0000 0.0000 0.0000 (multiplicity 2)  4 Cu 2.46
Cr: 0.0000 0.5000 0.2500 (multiplicity 4)  4 Cr 2.46
Cu: 0.0000 0.0000 0.5000 (multiplicity 2)  4 Mg 2.46

## Properties
The calculation puts the volume at 104 Å³ per cell. The value obtained for the formation energy is 0.40 eV/atom. As for the magnetic moment: 0.00 μB per formula unit. The density of states at the Fermi level comes out at 0.626 states/eV/atom. Its theoretical density is 6.1 g/cm3.

(5)
An optimized crystal structure of Tb6CeY3. Source: the Alexandria database, functional PBE.

Lattice parameters (Å, degrees): 5.5095 10.0809 12.2512 90.00 102.33 90.00
Closest atoms and distances in Å follow each position.
Space group P2_1/c (No. 14)
One atom of each set of equivalent atoms:
Tb: 0.0001 0.1810 0.0007 (multiplicity 4)  1 Ce 3.22, 3 Y 3.30-3.50, 3 Tb 3.48-3.58
Tb: 0.1208 0.0016 0.7660 (multiplicity 4)  2 Y 3.17-3.47, 1 Ce 3.18, 1 Tb 3.46
Tb: 0.4138 0.6700 0.8579 (multiplicity 4)  4 Y 3.40-3.74, 5 Tb 3.46-3.78, 2 Ce 3.59-3.74
Ce: 0.0000 0.0000 0.5000 (multiplicity 2)  4 Tb 3.18-3.22
Y: 0.4144 0.1682 0.3587 (multiplicity 4)  8 Tb 3.40-3.77, 2 Ce 3.57-3.73, 1 Y 3.75
Y: 0.5000 0.0000 0.0000 (multiplicity 2)  6 Tb 3.17-3.31

## Properties
The energy above the most stable polymorph in this dataset comes out at 145.2 meV/atom. The calculation puts the volume at 665 Å³ per cell. The value obtained for the formation energy is 0.24 eV/atom. As for the magnetic moment: 1.21 μB per formula unit. The density of states at the Fermi level comes out at 1.813 states/eV/atom. Its theoretical density is 6.8 g/cm3.

(6)
An optimized crystal structure of H5Br. Source: the Alexandria database, functional PBE.

Lattice parameters (Å, degrees): 6.6726 6.9688 2.8073 90.00 90.00 90.00
Closest atoms and distances in Å follow each position.
Space group Cmmm (No. 65)
One atom of each set of equivalent atoms:
H: 0.0000 0.0000 0.0000 (multiplicity 2)  2 H 0.98
H: 0.1475 0.0000 0.0000 (multiplicity 4)  1 H 0.98
H: 0.2324 0.0000 0.5000 (multiplicity 4)  2 H 1.51
Br: 0.0000 0.5000 0.5000 (multiplicity 2)  2 H 1.79

## Properties
The calculation puts the volume at 131 Å³ per cell. As for the magnetic moment: 0.00 μB per formula unit. The density of states at the Fermi level comes out at 0.076 states/eV/atom. The electronic total energy is -0.1822 Ry per atom. Its theoretical density is 2.2 g/cm3.

(7)
An optimized crystal structure of ScAsOs. Source: the Alexandria database, functional PBE.

Lattice parameters (Å, degrees): 6.1058 6.1058 6.1058 90.00 90.00 90.00
Closest atoms and distances in Å follow each position.
Space group F-43m (No. 216)
One atom of each set of equivalent atoms:
Sc: 0.0000 0.0000 0.0000 (multiplicity 4)  4 Os 2.64
As: 0.0000 0.0000 0.5000 (multiplicity 4)  4 Os 2.64
Os: 0.2500 0.2500 0.2500 (multiplicity 4)  4 As 2.64, 4 Sc 2.64

## Properties
The calculation puts the volume at 228 Å³ per cell. The value obtained for the formation energy is -0.23 eV/atom. As for the magnetic moment: 0.00 μB per formula unit. The density of states at the Fermi level comes out at 1.044 states/eV/atom. Its theoretical density is 9.0 g/cm3.

(8)
An optimized crystal structure of LaSm4Dy3. Source: the Alexandria database, functional PBE.

Lattice parameters (Å, degrees): 3.4807 11.7727 13.0652 90.00 90.00 90.00
Closest atoms and distances in Å follow each position.
Space group Immm (No. 71)
One atom of each set of equivalent atoms:
La: 0.0000 0.0000 0.0000 (multiplicity 2)  4 Sm 3.43, 2 La 3.48, 4 Dy 3.61
Sm: 0.0000 0.2506 0.1340 (multiplicity 8)  3 Dy 3.35-3.70, 1 La 3.43, 5 Sm 3.48-3.50
Dy: 0.0000 0.0000 0.5000 (multiplicity 2)  6 Dy 3.48-3.80, 8 Sm 3.84
Dy: 0.0000 0.5000 0.2581 (multiplicity 4)  6 Sm 3.35-3.70, 2 Dy 3.48, 2 La 3.61

## Properties
The energy above the most stable polymorph in this dataset comes out at 101.4 meV/atom. The calculation puts the volume at 535 Å³ per cell. The value obtained for the formation energy is 0.13 eV/atom. As for the magnetic moment: 0.00 μB per formula unit. The density of states at the Fermi level comes out at 1.778 states/eV/atom. Its theoretical density is 7.6 g/cm3.

(9)
An optimized crystal structure of VFeCo6. Source: the Alexandria database, functional PBE.

Lattice parameters (Å, degrees): 7.0803 10.0088 10.0204 90.00 90.00 90.00
Closest atoms and distances in Å follow each position.
Space group Cmmm (No. 65)
One atom of each set of equivalent atoms:
V: 0.0000 0.0000 0.2489 (multiplicity 4)  12 Co 2.49-2.52
V: 0.0000 0.2470 0.0000 (multiplicity 4)  12 Co 2.47-2.53
Fe: 0.0000 0.2487 0.5000 (multiplicity 4)  12 Co 2.49-2.51
Fe: 0.0000 0.5000 0.2507 (multiplicity 4)  12 Co 2.50-2.51
Co: 0.0000 0.0000 0.0000 (multiplicity 2)  4 V 2.47-2.49, 8 Co 2.51
Co: 0.0000 0.0000 0.5000 (multiplicity 2)  2 Fe 2.49, 8 Co 2.51, 2 V 2.52
Co: 0.0000 0.2502 0.2497 (multiplicity 8)  8 Co 2.50-2.51, 2 Fe 2.50-2.51, 2 V 2.50
Co: 0.0000 0.5000 0.0000 (multiplicity 2)  8 Co 2.50, 2 Fe 2.51, 2 V 2.53
Co: 0.0000 0.5000 0.5000 (multiplicity 2)  4 Fe 2.50-2.51, 8 Co 2.50
Co: 0.2493 0.3745 0.3751 (multiplicity 16)  8 Co 2.49-2.51, 3 Fe 2.50, 1 V 2.52
Co: 0.2492 0.3752 0.1249 (multiplicity 16)  3 V 2.49-2.52, 8 Co 2.50-2.51, 1 Fe 2.50

## Properties
The energy above the most stable polymorph in this dataset comes out at 0.0 meV/atom. The calculation puts the volume at 710 Å³ per cell. The value obtained for the formation energy is -0.05 eV/atom. As for the magnetic moment: 9.24 μB per formula unit. The density of states at the Fermi level comes out at 1.335 states/eV/atom. Its theoretical density is 8.6 g/cm3.

(10)
An optimized crystal structure of NbAsS2Br. Source: the Alexandria database, functional PBE.

Lattice parameters (Å, degrees): 4.8646 4.8646 4.8813 90.00 90.00 90.00
Closest atoms and distances in Å follow each position.
Space group P4/mmm (No. 123)
One atom of each set of equivalent atoms:
Nb: 0.0000 0.0000 0.0000 (multiplicity 1)  2 Br 2.44
As: 0.5000 0.5000 0.0000 (multiplicity 1)  4 Nb 3.44, 8 S 3.45
S: 0.0000 0.5000 0.5000 (multiplicity 2)  2 Br 2.43
Br: 0.0000 0.0000 0.5000 (multiplicity 1)  4 S 2.43, 2 Nb 2.44

## Properties
The calculation puts the volume at 116 Å³ per cell. The formation energy from raw total energies comes out at 1.42 eV per atom. As for the magnetic moment: 0.00 μB per formula unit. The density of states at the Fermi level comes out at 1.046 states/eV/atom. Its theoretical density is 4.5 g/cm3.

(11)
An optimized crystal structure of Dy2BeAl4Pt3. Source: the Alexandria database, functional PBE.

Lattice parameters (Å, degrees): 4.1217 4.1217 10.6621 90.00 90.00 90.00
Closest atoms and distances in Å follow each position.
Space group P-4m2 (No. 115)
One atom of each set of equivalent atoms:
Dy: 0.0000 0.5000 0.2440 (multiplicity 2)  6 Pt 3.17-3.32, 8 Al 3.17-3.42, 2 Be 3.32
Be: 0.5000 0.5000 0.0000 (multiplicity 1)  4 Al 2.46
Al: 0.0000 0.0000 0.5000 (multiplicity 1)  4 Pt 2.54
Al: 0.0000 0.5000 0.8734 (multiplicity 2)  2 Be 2.46, 3 Pt 2.46-2.50
Al: 0.5000 0.5000 0.5000 (multiplicity 1)  4 Pt 2.54
Pt: 0.0000 0.0000 0.0000 (multiplicity 1)  4 Al 2.46
Pt: 0.0000 0.5000 0.6392 (multiplicity 2)  5 Al 2.50-2.54

## Properties
The calculation puts the volume at 181 Å³ per cell. The value obtained for the formation energy is -0.93 eV/atom. As for the magnetic moment: 0.00 μB per formula unit. The density of states at the Fermi level comes out at 0.389 states/eV/atom. Its theoretical density is 9.4 g/cm3.

(12)
An optimized crystal structure of PrZrIr4. Source: the Alexandria database, functional PBE.

Lattice parameters (Å, degrees): 7.5784 7.5784 7.5784 90.00 90.00 90.00
Closest atoms and distances in Å follow each position.
Space group F-43m (No. 216)
One atom of each set of equivalent atoms:
Pr: 0.0000 0.0000 0.0000 (multiplicity 4)  12 Ir 3.14, 4 Zr 3.28
Zr: 0.2500 0.2500 0.2500 (multiplicity 4)  12 Ir 3.14, 4 Pr 3.28
Ir: 0.1248 0.1248 0.6248 (multiplicity 16)  6 Ir 2.68

## Properties
The calculation puts the volume at 435 Å³ per cell. The value obtained for the formation energy is -0.61 eV/atom. As for the magnetic moment: 0.00 μB per formula unit. The density of states at the Fermi level comes out at 0.527 states/eV/atom. Its theoretical density is 15.3 g/cm3.

Q: Which value of theoretical density does entry 6 give?
A: 2.2 g/cm3

Q: The lowest volume belongs to which entry?
A: MgCr2Cu

What did the seventh record say?
An optimized crystal structure of ScAsOs. Source: the Alexandria database, functional PBE.

Lattice parameters (Å, degrees): 6.1058 6.1058 6.1058 90.00 90.00 90.00
Closest atoms and distances in Å follow each position.
Space group F-43m (No. 216)
One atom of each set of equivalent atoms:
Sc: 0.0000 0.0000 0.0000 (multiplicity 4)  4 Os 2.64
As: 0.0000 0.0000 0.5000 (multiplicity 4)  4 Os 2.64
Os: 0.2500 0.2500 0.2500 (multiplicity 4)  4 As 2.64, 4 Sc 2.64

## Properties
The calculation puts the volume at 228 Å³ per cell. The value obtained for the formation energy is -0.23 eV/atom. As for the magnetic moment: 0.00 μB per formula unit. The density of states at the Fermi level comes out at 1.044 states/eV/atom. Its theoretical density is 9.0 g/cm3.